No. 1
DFT (PBE-GGA) results for a geometry-optimized AsIr2Pt2 structure.

POSCAR file:
```
AsIr2Pt2
1.0
6.4511 0.0000 0.0000
0.0000 6.4511 0.0000
0.0000 0.0000 3.9489
As Ir Pt
2 4 4
Cartesian
0.0000 0.0000 0.0000
3.2255 3.2255 0.0000
2.3047 5.5303 0.0000
5.5303 4.1463 0.0000
4.1463 0.9208 0.0000
0.9208 2.3047 0.0000
1.0353 4.2608 1.9745
4.2608 5.4158 1.9745
5.4158 2.1903 1.9745
2.1903 1.0353 1.9745
```

V	164.34	Å³ per cell
energy	-6.663	eV/atom
magnetic moment	0.00	μB per formula unit
DFT formation energy	227.6	meV per atom
relative energy among the computed polymorphs	0	meV per atom

No. 2
DFT (PBE-GGA) results for a geometry-optimized AsIr2Pt structure.

POSCAR file:
```
AsIr2Pt
1.0
4.8109 -0.0114 -0.0134
3.9660 2.7231 -0.0134
1.0558 0.3262 4.7084
As Ir Pt
1 2 1
Cartesian
7.3511 2.2711 3.6152
0.0424 0.0131 0.0310
2.4721 0.7638 1.0593
4.8833 1.5087 2.3169
```

V	61.94	Å³ per cell
energy	-6.912	eV/atom
magnetic moment	0.00	μB per formula unit
DFT formation energy	190.9	meV per atom

No. 3
DFT (PBE-GGA) results for a geometry-optimized AsIr2Pt structure.

POSCAR file:
```
AsIr2Pt
1.0
2.8794 0.0000 0.0000
0.0000 2.8794 0.0000
0.0000 0.0000 7.3072
As Ir Pt
1 2 1
Cartesian
1.4397 1.4397 5.4804
0.0000 0.0000 7.1514
0.0000 0.0000 3.8094
1.4397 1.4397 1.8268
```

V	60.58	Å³ per cell
energy	-6.903	eV/atom
magnetic moment	0.00	μB per formula unit
DFT formation energy	199.8	meV per atom

No. 4
DFT (PBE-GGA) results for a geometry-optimized AsIr2Pt2 structure.

POSCAR file:
```
AsIr2Pt2
1.0
3.7086 0.0000 0.0000
0.0000 3.7086 0.0000
1.8543 1.8543 6.3337
As Ir Pt
1 2 2
Cartesian
0.0000 0.0000 0.0000
1.8543 1.8543 1.2126
3.7086 3.7086 5.1211
3.7086 1.8543 3.1668
1.8543 3.7086 3.1668
```

V	87.11	Å³ per cell
energy	-6.449	eV/atom
magnetic moment	0.00	μB per formula unit
DFT formation energy	441.6	meV per atom
relative energy among the computed polymorphs	214	meV per atom